Compound: Ca2DySn3Pt4
Source: Alexandria
Functional: GGA-PBE
Structure: relaxed

a = 4.603 Å, b = 4.603 Å, c = 11.153 Å
α = 90.00°, β = 90.00°, γ = 90.00°
Sites, in units of the cell vectors:
Ca 0.000 0.500 0.221
Ca 0.500 0.000 0.779
Dy 0.000 0.000 0.500
Sn 0.000 0.500 0.876
Sn 0.500 0.000 0.124
Sn 0.500 0.500 0.500
Pt 0.000 0.000 0.000
Pt 0.000 0.500 0.643
Pt 0.500 0.000 0.357
Pt 0.500 0.500 0.000

Values from the calculation:
**Calculated formation energy**: -19.500 kcal/mol of atoms
**Theoretical density**: 9.69 g/cm³
**Crystal system**: tetragonal
**Raw total energy**: -0.1956 hartree per atom
**SG**: P-4m2



Compound: TcMo2W
Source: Alexandria
Functional: GGA-PBE
Structure: relaxed

a = 3.150 Å, b = 4.438 Å, c = 4.473 Å
α = 90.00°, β = 90.00°, γ = 90.00°
Sites, in units of the cell vectors:
Tc 0.000 0.000 0.000
Mo 0.000 0.500 0.500
Mo 0.500 0.000 0.500
W 0.500 0.500 0.000

Values from the calculation:
**E above lowest polymorph**: 0.0121 eV per atom
**Calculated formation energy**: 0.635 kcal/mol of atoms
**Theoretical density**: 12.58 g/cm³
**Crystal system**: orthorhombic
**Raw total energy**: -0.4122 hartree per atom
**SG**: Pmmm



Compound: MnMo2Ir
Source: Alexandria
Functional: GGA-PBE
Structure: relaxed

a = 3.845 Å, b = 3.845 Å, c = 3.936 Å
α = 90.00°, β = 90.00°, γ = 90.00°
Sites, in units of the cell vectors:
Mn 0.000 0.000 0.000
Mo 0.000 0.500 0.500
Mo 0.500 0.000 0.500
Ir 0.500 0.500 0.000

Values from the calculation:
**E above lowest polymorph**: 0.0000 eV per atom
**Calculated formation energy**: -1.657 kcal/mol of atoms
**Theoretical density**: 12.53 g/cm³
**Crystal system**: tetragonal
**Raw total energy**: -0.3673 hartree per atom
**SG**: P4/mmm



Compound: BeNbCu
Source: Alexandria
Functional: GGA-PBE
Structure: relaxed

a = 4.677 Å, b = 3.615 Å, c = 4.756 Å
α = 90.00°, β = 106.06°, γ = 90.00°
Sites, in units of the cell vectors:
Be 0.055 0.250 0.397
Be 0.945 0.750 0.603
Nb 0.250 0.250 0.963
Nb 0.750 0.750 0.037
Cu 0.334 0.750 0.440
Cu 0.666 0.250 0.560

Values from the calculation:
**E above lowest polymorph**: 0.1016 eV per atom
**Calculated formation energy**: 0.453 kcal/mol of atoms
**Theoretical density**: 7.11 g/cm³
**Crystal system**: monoclinic
**Raw total energy**: -0.2185 hartree per atom
**SG**: P2_1/m



Compound: ZrCdSbI2
Source: Alexandria
Functional: GGA-PBE
Structure: relaxed

a = 5.723 Å, b = 5.723 Å, c = 5.758 Å
α = 90.00°, β = 90.00°, γ = 90.00°
Sites, in units of the cell vectors:
Zr 0.000 0.000 0.000
Cd 0.500 0.500 0.500
Sb 0.000 0.000 0.500
I 0.000 0.500 0.000
I 0.500 0.000 0.000

Values from the calculation:
**E above lowest polymorph**: 0.0000 eV per atom
**Formation energy from raw total energies**: -112 meV per atom
**Theoretical density**: 5.10 g/cm³
**Crystal system**: tetragonal
**Raw total energy**: -0.1267 hartree per atom
**SG**: P4/mmm



Compound: Sc2AuBr
Source: Alexandria
Functional: GGA-PBE
Structure: relaxed

a = 3.357 Å, b = 3.528 Å, c = 7.796 Å
α = 90.00°, β = 90.00°, γ = 90.00°
Sites, in units of the cell vectors:
Sc 0.000 0.000 0.206
Sc 0.000 0.000 0.794
Au 0.500 0.500 0.000
Br 0.500 0.000 0.500

Values from the calculation:
**E above lowest polymorph**: 0.0075 eV per atom
**Formation energy from raw total energies**: -786 meV per atom
**Theoretical density**: 6.60 g/cm³
**Crystal system**: orthorhombic
**Raw total energy**: -0.1907 hartree per atom
**SG**: Pmmm



Compound: La2AsPt
Source: Alexandria
Functional: GGA-PBE
Structure: relaxed

a = 4.270 Å, b = 4.270 Å, c = 21.663 Å
α = 90.00°, β = 90.00°, γ = 120.00°
Sites, in units of the cell vectors:
La 0.000 0.000 0.248
La 0.000 0.000 0.752
La 0.333 0.667 0.418
La 0.333 0.667 0.915
La 0.667 0.333 0.085
La 0.667 0.333 0.582
As 0.000 0.000 0.000
As 0.333 0.667 0.667
As 0.667 0.333 0.333
Pt 0.000 0.000 0.500
Pt 0.333 0.667 0.167
Pt 0.667 0.333 0.833

Values from the calculation:
**Calculated formation energy**: -29.459 kcal/mol of atoms
**Theoretical density**: 7.98 g/cm³
**Crystal system**: trigonal
**Raw total energy**: -0.2357 hartree per atom
**SG**: R-3m



Compound: CsSiS2
Source: Alexandria
Functional: GGA-PBE
Structure: relaxed

a = 7.180 Å, b = 7.180 Å, c = 9.995 Å
α = 90.00°, β = 90.00°, γ = 90.00°
Sites, in units of the cell vectors:
Cs 0.000 0.000 0.000
Cs 0.000 0.500 0.250
Cs 0.500 0.000 0.750
Cs 0.500 0.500 0.500
Si 0.000 0.000 0.500
Si 0.000 0.500 0.750
Si 0.500 0.000 0.250
Si 0.500 0.500 0.000
S 0.089 0.250 0.625
S 0.250 0.589 0.875
S 0.250 0.911 0.375
S 0.411 0.250 0.125
S 0.589 0.750 0.125
S 0.750 0.089 0.375
S 0.750 0.411 0.875
S 0.911 0.750 0.625

Values from the calculation:
**Formation energy from raw total energies**: -681 meV per atom
**Theoretical density**: 2.90 g/cm³
**Crystal system**: tetragonal
**Raw total energy**: -0.1585 hartree per atom
**SG**: I-42d



Compound: Ir3Se
Source: Alexandria
Functional: GGA-PBE
Structure: relaxed

a = 9.085 Å, b = 2.847 Å, c = 4.849 Å
α = 90.00°, β = 102.98°, γ = 90.00°
Sites, in units of the cell vectors:
Ir 0.000 0.000 0.000
Ir 0.246 0.000 0.757
Ir 0.254 0.500 0.243
Ir 0.500 0.500 0.000
Ir 0.746 0.500 0.757
Ir 0.754 0.000 0.243
Se 0.000 0.500 0.500
Se 0.500 0.000 0.500

Values from the calculation:
**E above lowest polymorph**: 0.1430 eV per atom
**Formation energy from raw total energies**: 432 meV per atom
**Theoretical density**: 17.82 g/cm³
**Crystal system**: monoclinic
**Raw total energy**: -0.2604 hartree per atom
**SG**: C2/m



Compound: CsRb2SbPt
Source: Alexandria
Functional: GGA-PBE
Structure: relaxed

a = 6.580 Å, b = 6.580 Å, c = 5.139 Å
α = 90.00°, β = 90.00°, γ = 90.00°
Sites, in units of the cell vectors:
Cs 0.000 0.000 0.000
Rb 0.000 0.500 0.500
Rb 0.500 0.000 0.500
Sb 0.500 0.500 0.000
Pt 0.500 0.500 0.500

Values from the calculation:
**Formation energy from raw total energies**: -199 meV per atom
**Theoretical density**: 4.63 g/cm³
**Crystal system**: tetragonal
**Raw total energy**: -0.1025 hartree per atom
**SG**: P4/mmm



Compound: SrSbCl2
Source: Alexandria
Functional: GGA-PBE
Structure: relaxed

a = 7.714 Å, b = 7.714 Å, c = 7.714 Å
α = 90.00°, β = 90.00°, γ = 90.00°
Sites, in units of the cell vectors:
Sr 0.000 0.000 0.000
Sr 0.000 0.500 0.500
Sr 0.500 0.000 0.500
Sr 0.500 0.500 0.000
Sb 0.000 0.000 0.500
Sb 0.000 0.500 0.000
Sb 0.500 0.000 0.000
Sb 0.500 0.500 0.500
Cl 0.250 0.250 0.250
Cl 0.250 0.250 0.750
Cl 0.250 0.750 0.250
Cl 0.250 0.750 0.750
Cl 0.750 0.250 0.250
Cl 0.750 0.250 0.750
Cl 0.750 0.750 0.250
Cl 0.750 0.750 0.750

Values from the calculation:
**E above lowest polymorph**: 0.4018 eV per atom
**Formation energy from raw total energies**: -930 meV per atom
**Theoretical density**: 4.06 g/cm³
**Crystal system**: cubic
**Raw total energy**: -0.1214 hartree per atom
**SG**: Fm-3m



Compound: NpCoS2
Source: Alexandria
Functional: GGA-PBE
Structure: relaxed

a = 3.486 Å, b = 3.486 Å, c = 11.006 Å
α = 90.00°, β = 90.00°, γ = 90.00°
Sites, in units of the cell vectors:
Np 0.000 0.000 0.000
Np 0.500 0.500 0.500
Co 0.000 0.500 0.750
Co 0.500 0.000 0.250
S 0.000 0.000 0.365
S 0.000 0.000 0.635
S 0.500 0.500 0.135
S 0.500 0.500 0.865

Values from the calculation:
**E above lowest polymorph**: 0.1415 eV per atom
**Formation energy from raw total energies**: -867 meV per atom
**Theoretical density**: 8.94 g/cm³
**Crystal system**: tetragonal
**Raw total energy**: -0.2919 hartree per atom
**SG**: I-4m2



Compound: AcCdH8Pd2
Source: Alexandria
Functional: GGA-PBE
Structure: relaxed

a = 3.671 Å, b = 3.671 Å, c = 9.828 Å
α = 99.83°, β = 99.83°, γ = 89.30°
Sites, in units of the cell vectors:
Ac 0.000 0.000 0.000
Cd 0.000 0.000 0.500
H 0.105 0.598 0.234
H 0.366 0.366 0.566
H 0.402 0.895 0.766
H 0.465 0.465 0.924
H 0.535 0.535 0.076
H 0.598 0.105 0.234
H 0.634 0.634 0.434
H 0.895 0.402 0.766
Pd 0.391 0.391 0.747
Pd 0.609 0.609 0.253

Values from the calculation:
**Theoretical density**: 7.24 g/cm³
**Crystal system**: monoclinic
**Raw total energy**: -0.1332 hartree per atom
**SG**: C2/m



Compound: KTl7Cd5
Source: Alexandria
Functional: GGA-PBE
Structure: relaxed

a = 8.511 Å, b = 8.511 Å, c = 8.511 Å
α = 138.58°, β = 98.44°, γ = 95.94°
Sites, in units of the cell vectors:
K 0.000 0.000 0.000
Tl 0.203 0.499 0.704
Tl 0.351 0.351 0.000
Tl 0.353 0.999 0.353
Tl 0.643 0.643 0.000
Tl 0.646 0.999 0.647
Tl 0.783 0.283 0.500
Tl 0.796 0.499 0.296
Cd 0.004 0.497 0.008
Cd 0.004 0.997 0.507
Cd 0.220 0.720 0.500
Cd 0.489 0.497 0.493
Cd 0.489 0.997 0.992

Values from the calculation:
**Calculated formation energy**: -0.446 kcal/mol of atoms
**Theoretical density**: 8.85 g/cm³
**Crystal system**: orthorhombic
**Raw total energy**: -0.0636 hartree per atom
**SG**: Imm2



Compound: Mn5Cd3S12
Source: Alexandria
Functional: GGA-PBE
Structure: relaxed

a = 12.842 Å, b = 12.842 Å, c = 12.842 Å
α = 109.47°, β = 109.47°, γ = 109.47°
Sites, in units of the cell vectors:
Mn 0.000 0.000 0.000
Mn 0.000 0.000 0.500
Mn 0.000 0.500 0.000
Mn 0.000 0.500 0.500
Mn 0.125 0.750 0.875
Mn 0.125 0.875 0.250
Mn 0.250 0.125 0.875
Mn 0.250 0.625 0.375
Mn 0.375 0.250 0.625
Mn 0.375 0.625 0.750
Mn 0.500 0.000 0.000
Mn 0.500 0.000 0.500
Mn 0.500 0.500 0.000
Mn 0.500 0.500 0.500
Mn 0.625 0.375 0.250
Mn 0.625 0.750 0.375
Mn 0.750 0.375 0.625
Mn 0.750 0.875 0.125
Mn 0.875 0.125 0.750
Mn 0.875 0.250 0.125
Cd 0.125 0.250 0.375
Cd 0.125 0.375 0.750
Cd 0.250 0.375 0.125
Cd 0.250 0.875 0.625
Cd 0.375 0.125 0.250
Cd 0.375 0.750 0.125
Cd 0.625 0.250 0.875
Cd 0.625 0.875 0.750
Cd 0.750 0.125 0.375
Cd 0.750 0.625 0.875
Cd 0.875 0.625 0.250
Cd 0.875 0.750 0.625
S 0.027 0.203 0.124
S 0.027 0.324 0.903
S 0.079 0.703 0.676
S 0.079 0.876 0.403
S 0.097 0.624 0.421
S 0.097 0.973 0.676
S 0.124 0.027 0.203
S 0.124 0.597 0.921
S 0.176 0.203 0.579
S 0.176 0.473 0.597
S 0.203 0.124 0.027
S 0.203 0.579 0.176
S 0.297 0.324 0.921
S 0.297 0.473 0.376
S 0.324 0.903 0.027
S 0.324 0.921 0.297
S 0.376 0.297 0.473
S 0.376 0.579 0.903
S 0.403 0.079 0.876
S 0.403 0.824 0.527
S 0.421 0.097 0.624
S 0.421 0.824 0.797
S 0.473 0.376 0.297
S 0.473 0.597 0.176
S 0.527 0.403 0.824
S 0.527 0.624 0.703
S 0.579 0.176 0.203
S 0.579 0.903 0.376
S 0.597 0.176 0.473
S 0.597 0.921 0.124
S 0.624 0.421 0.097
S 0.624 0.703 0.527
S 0.676 0.079 0.703
S 0.676 0.097 0.973
S 0.703 0.527 0.624
S 0.703 0.676 0.079
S 0.797 0.421 0.824
S 0.797 0.876 0.973
S 0.824 0.527 0.403
S 0.824 0.797 0.421
S 0.876 0.403 0.079
S 0.876 0.973 0.797
S 0.903 0.027 0.324
S 0.903 0.376 0.579
S 0.921 0.124 0.597
S 0.921 0.297 0.324
S 0.973 0.676 0.097
S 0.973 0.797 0.876

Values from the calculation:
**Formation energy from raw total energies**: -332 meV per atom
**Theoretical density**: 4.06 g/cm³
**Crystal system**: cubic
**Raw total energy**: -0.1925 hartree per atom
**SG**: Ia-3d



Compound: Dy8Ho3In2
Source: Alexandria
Functional: GGA-PBE
Structure: relaxed

a = 7.876 Å, b = 5.086 Å, c = 10.300 Å
α = 90.00°, β = 103.48°, γ = 90.00°
Sites, in units of the cell vectors:
Dy 0.049 0.000 0.339
Dy 0.136 0.500 0.891
Dy 0.338 0.500 0.263
Dy 0.396 0.000 0.817
Dy 0.604 0.000 0.183
Dy 0.662 0.500 0.737
Dy 0.864 0.500 0.109
Dy 0.951 0.000 0.661
Ho 0.222 0.500 0.575
Ho 0.500 0.000 0.500
Ho 0.778 0.500 0.425
In 0.187 0.000 0.074
In 0.813 0.000 0.926

Values from the calculation:
**Calculated formation energy**: -1.864 kcal/mol of atoms
**Theoretical density**: 8.38 g/cm³
**Crystal system**: monoclinic
**Raw total energy**: -0.1614 hartree per atom
**SG**: P2/m



Compound: PuPaTiPb
Source: Alexandria
Functional: GGA-PBE
Structure: relaxed

a = 7.146 Å, b = 7.146 Å, c = 7.146 Å
α = 90.00°, β = 90.00°, γ = 90.00°
Sites, in units of the cell vectors:
Pu 0.000 0.000 0.000
Pu 0.000 0.500 0.500
Pu 0.500 0.000 0.500
Pu 0.500 0.500 0.000
Pa 0.250 0.250 0.750
Pa 0.250 0.750 0.250
Pa 0.750 0.250 0.250
Pa 0.750 0.750 0.750
Ti 0.000 0.000 0.500
Ti 0.000 0.500 0.000
Ti 0.500 0.000 0.000
Ti 0.500 0.500 0.500
Pb 0.250 0.250 0.250
Pb 0.250 0.750 0.750
Pb 0.750 0.250 0.750
Pb 0.750 0.750 0.250

Values from the calculation:
**Calculated formation energy**: 2.974 kcal/mol of atoms
**Theoretical density**: 13.29 g/cm³
**Crystal system**: cubic
**Raw total energy**: -0.3208 hartree per atom
**SG**: F-43m



Compound: SrTeBr2
Source: Alexandria
Functional: GGA-PBE
Structure: relaxed

a = 4.486 Å, b = 4.486 Å, c = 12.219 Å
α = 90.00°, β = 90.00°, γ = 90.00°
Sites, in units of the cell vectors:
Sr 0.000 0.000 0.000
Sr 0.500 0.500 0.500
Te 0.000 0.500 0.750
Te 0.500 0.000 0.250
Br 0.000 0.000 0.500
Br 0.000 0.500 0.250
Br 0.500 0.000 0.750
Br 0.500 0.500 0.000

Values from the calculation:
**E above lowest polymorph**: 0.1747 eV per atom
**Formation energy from raw total energies**: -1088 meV per atom
**Theoretical density**: 5.07 g/cm³
**Crystal system**: tetragonal
**Raw total energy**: -0.1150 hartree per atom
**SG**: I-4m2



Compound: SrMg3Si
Source: Alexandria
Functional: GGA-PBE
Structure: relaxed

a = 6.072 Å, b = 6.072 Å, c = 6.072 Å
α = 90.00°, β = 90.00°, γ = 90.00°
Sites, in units of the cell vectors:
Sr 0.000 0.000 0.000
Mg 0.000 0.000 0.500
Mg 0.000 0.500 0.000
Mg 0.500 0.000 0.000
Si 0.500 0.500 0.500

Values from the calculation:
**E above lowest polymorph**: 1.3441 eV per atom
**Formation energy from raw total energies**: 1462 meV per atom
**Theoretical density**: 1.40 g/cm³
**Crystal system**: cubic
**Raw total energy**: -0.0336 hartree per atom
**SG**: Pm-3m



Compound: SrCaCr2Ru
Source: Alexandria
Functional: GGA-PBE
Structure: relaxed

a = 4.416 Å, b = 4.416 Å, c = 5.273 Å
α = 90.00°, β = 90.00°, γ = 90.00°
Sites, in units of the cell vectors:
Sr 0.000 0.000 0.000
Ca 0.000 0.000 0.500
Cr 0.000 0.500 0.500
Cr 0.500 0.000 0.500
Ru 0.500 0.500 0.000

Values from the calculation:
**Calculated formation energy**: 57.327 kcal/mol of atoms
**Theoretical density**: 5.37 g/cm³
**Crystal system**: tetragonal
**Raw total energy**: -0.1454 hartree per atom
**SG**: P4/mmm



Compound: Li4Tc
Source: Alexandria
Functional: GGA-PBE
Structure: relaxed

a = 4.978 Å, b = 4.978 Å, c = 4.978 Å
α = 90.00°, β = 90.00°, γ = 90.00°
Sites, in units of the cell vectors:
Li 0.000 0.000 0.000
Li 0.000 0.500 0.500
Li 0.500 0.000 0.500
Li 0.500 0.500 0.000
Tc 0.500 0.500 0.500

Values from the calculation:
**E above lowest polymorph**: 0.3464 eV per atom
**Calculated formation energy**: 22.544 kcal/mol of atoms
**Theoretical density**: 1.69 g/cm³
**Crystal system**: cubic
**Raw total energy**: -0.0965 hartree per atom
**SG**: Pm-3m



Compound: TeBrN2
Source: Alexandria
Functional: GGA-PBE
Structure: relaxed

a = 3.410 Å, b = 3.410 Å, c = 20.177 Å
α = 90.00°, β = 90.00°, γ = 120.00°
Sites, in units of the cell vectors:
Te 0.000 0.000 0.000
Te 0.333 0.667 0.667
Te 0.667 0.333 0.333
Br 0.000 0.000 0.500
Br 0.333 0.667 0.167
Br 0.667 0.333 0.833
N 0.000 0.000 0.109
N 0.000 0.000 0.891
N 0.333 0.667 0.558
N 0.333 0.667 0.775
N 0.667 0.333 0.225
N 0.667 0.333 0.442

Values from the calculation:
**E above lowest polymorph**: 1.8670 eV per atom
**Formation energy from raw total energies**: 1863 meV per atom
**Theoretical density**: 5.78 g/cm³
**Crystal system**: trigonal
**Raw total energy**: -0.1288 hartree per atom
**SG**: R-3m



Compound: PdPt
Source: Alexandria
Functional: GGA-PBE
Structure: relaxed

a = 2.761 Å, b = 2.761 Å, c = 4.711 Å
α = 90.00°, β = 90.00°, γ = 120.00°
Sites, in units of the cell vectors:
Pd 0.000 0.000 0.000
Pt 0.667 0.333 0.500

Values from the calculation:
**Calculated formation energy**: 0.008 kcal/mol of atoms
**Theoretical density**: 16.09 g/cm³
**Crystal system**: hexagonal
**Raw total energy**: -0.2064 hartree per atom
**SG**: P-6m2